A plane-wave DFT calculation with PBE was carried out for crystalline DyIn2Au at its relaxed geometry.

a = 4.5513 Å, b = 4.4992 Å, c = 4.4992 Å
α = 90.00°, β = 90.00°, γ = 90.00°
Fractional coordinates of all 4 atoms:
In: 0.0000 0.0000 0.5000
In: 0.0000 0.5000 0.0000
Au: 0.5000 0.0000 0.0000
Dy: 0.5000 0.5000 0.5000

Values from the calculation:
SG = P4/mmm

A plane-wave DFT calculation with PBE was carried out for crystalline Dy2InAu3 at its relaxed geometry.

a = 4.9990 Å, b = 4.9990 Å, c = 12.3536 Å
α = 90.00°, β = 90.00°, γ = 120.00°
Fractional coordinates of all 12 atoms:
Dy: 0.0000 0.0000 0.5000
Dy: 0.3333 0.6667 0.1842
Dy: 0.6667 0.3333 0.8158
Dy: 0.0000 0.0000 0.0000
In: 0.3333 0.6667 0.6667
In: 0.6667 0.3333 0.3333
Au: 0.3333 0.6667 0.4265
Au: 0.6667 0.3333 0.0622
Au: 0.0000 0.0000 0.7559
Au: 0.0000 0.0000 0.2441
Au: 0.3333 0.6667 0.9378
Au: 0.6667 0.3333 0.5735

Values from the calculation:
SG = P-3m1

no.,DOS at the Fermi energy (states/eV/atom),ΔH_f (0 K) (eV per atom)
1,0.236,-0.49
2,0.423,-0.77